1.
First-principles (PBE-GGA) data for crystalline Sr6TeSe3S2 at its relaxed geometry, as listed in the Alexandria database.

abc: 9.956 9.956 8.930
angles: 102.88 102.88 25.82
Element x y z (fractional)
Sr (0.003, 0.003, 0.264)
Sr (0.328, 0.328, 0.907)
Sr (0.330, 0.330, 0.422)
Sr (0.670, 0.670, 0.578)
Sr (0.672, 0.672, 0.093)
Sr (0.997, 0.997, 0.736)
Te (0.500, 0.500, 0.000)
Se (0.166, 0.166, 0.830)
Se (0.500, 0.500, 0.500)
Se (0.834, 0.834, 0.170)
S (0.168, 0.168, 0.337)
S (0.832, 0.832, 0.663)

Results
The value obtained for the formation energy from raw total energies is -2.017 eV/atom. Its total energy is -4.68 eV/atom. As for the theoretical density: 4.2 g/cm³.

***

2.
First-principles (PBE-GGA) data for crystalline Zr2RuCl at its relaxed geometry, as listed in the Alexandria database.

abc: 3.738 3.738 10.797
angles: 90.00 90.00 90.00
Element x y z (fractional)
Zr (0.000, 0.000, 0.000)
Zr (0.000, 0.500, 0.250)
Zr (0.500, 0.000, 0.750)
Zr (0.500, 0.500, 0.500)
Ru (0.000, 0.000, 0.500)
Ru (0.500, 0.500, 0.000)
Cl (0.000, 0.500, 0.750)
Cl (0.500, 0.000, 0.250)

Results
The value obtained for the formation energy from raw total energies is -0.150 eV/atom. Its total energy is -7.20 eV/atom. The calculation puts the excess energy over the best structure of this formula in the dataset at 546.7 meV/atom. As for the theoretical density: 7.0 g/cm³.

***

3.
First-principles (PBE-GGA) data for crystalline Hf6NbOs at its relaxed geometry, as listed in the Alexandria database.

abc: 5.928 5.941 7.203
angles: 65.68 65.93 60.09
Element x y z (fractional)
Hf (0.041, 0.291, 0.233)
Hf (0.208, 0.063, 0.767)
Hf (0.438, 0.539, 0.235)
Hf (0.562, 0.461, 0.765)
Hf (0.792, 0.937, 0.233)
Hf (0.959, 0.709, 0.767)
Nb (0.500, 0.000, 0.000)
Os (0.000, 0.500, 0.500)

Results
Its total energy is -9.63 eV/atom. The calculation puts the formation energy at 494 meV per atom. The calculation puts the excess energy over the best structure of this formula in the dataset at 588.8 meV/atom. As for the theoretical density: 11.6 g/cm³.

***

4.
First-principles (PBE-GGA) data for crystalline La4UN4 at its relaxed geometry, as listed in the Alexandria database.

abc: 7.213 7.213 7.213
angles: 132.04 132.04 70.17
Element x y z (fractional)
La (0.000, 0.500, 0.500)
La (0.213, 0.213, 0.000)
La (0.500, 0.000, 0.500)
La (0.787, 0.787, 0.000)
U (0.500, 0.500, 0.000)
N (0.174, 0.566, 0.000)
N (0.434, 0.434, 0.608)
N (0.566, 0.174, 0.000)
N (0.826, 0.826, 0.392)

Results
The value obtained for the formation energy from raw total energies is -0.803 eV/atom. Its total energy is -7.95 eV/atom. The calculation puts the excess energy over the best structure of this formula in the dataset at 404.4 meV/atom. As for the theoretical density: 7.0 g/cm³.

***

5.
First-principles (PBE-GGA) data for crystalline Sr2LiAlAg2 at its relaxed geometry, as listed in the Alexandria database.

abc: 9.045 9.045 9.045
angles: 138.27 60.37 138.42
Element x y z (fractional)
Sr (0.168, 0.242, 0.410)
Sr (0.332, 0.742, 0.073)
Sr (0.668, 0.258, 0.927)
Sr (0.832, 0.758, 0.590)
Li (0.250, 0.250, 0.000)
Li (0.750, 0.750, 0.000)
Al (0.250, 0.750, 0.500)
Al (0.750, 0.250, 0.500)
Ag (0.101, 0.733, 0.834)
Ag (0.399, 0.233, 0.632)
Ag (0.601, 0.767, 0.368)
Ag (0.899, 0.267, 0.166)

Results
Its total energy is -2.68 eV/atom. The calculation puts the formation energy at -231 meV per atom. As for the theoretical density: 4.4 g/cm³.

***

6.
First-principles (PBE-GGA) data for crystalline Pa2InAu2 at its relaxed geometry, as listed in the Alexandria database.

abc: 7.390 7.390 4.337
angles: 90.00 90.00 90.00
Element x y z (fractional)
Pa (0.148, 0.352, 0.000)
Pa (0.352, 0.852, 0.000)
Pa (0.648, 0.148, 0.000)
Pa (0.852, 0.648, 0.000)
In (0.000, 0.000, 0.500)
In (0.500, 0.500, 0.500)
Au (0.143, 0.643, 0.500)
Au (0.357, 0.143, 0.500)
Au (0.643, 0.857, 0.500)
Au (0.857, 0.357, 0.500)

Results
Its total energy is -5.94 eV/atom. The calculation puts the formation energy at -285 meV per atom. As for the theoretical density: 13.6 g/cm³.